The following is a PBE calculation of a relaxed structure of Rb3In2AgCl9, from Alexandria via LeMat-Bulk. Values from VASP.

```
&SYSTEM
  ibrav = 0, nat = 15, ntyp = 4
/
ATOMIC_SPECIES
Rb 85.47 Rb.upf
In 114.82 In.upf
Ag 107.87 Ag.upf
Cl 35.45 Cl.upf
CELL_PARAMETERS angstrom
7.503 0.000 0.000
-3.752 6.498 0.000
0.000 0.000 9.247
ATOMIC_POSITIONS crystal
Rb 0.000 0.000 0.000
Rb 0.333 0.667 0.656
Rb 0.667 0.333 0.344
In 0.333 0.667 0.173
In 0.667 0.333 0.827
Ag 0.000 0.000 0.500
Cl 0.000 0.500 0.000
Cl 0.168 0.336 0.327
Cl 0.168 0.832 0.327
Cl 0.336 0.168 0.673
Cl 0.500 0.000 0.000
Cl 0.500 0.500 0.000
Cl 0.664 0.832 0.327
Cl 0.832 0.168 0.673
Cl 0.832 0.664 0.673
```

## Properties
* crystal system: trigonal
* energy relative to the elements, uncorrected: -20.32 eV/f.u.
* Fermi-level density of states: 1.5 states/eV per cell